(1)
4
Lattice="-3.1865 0.8583 -0.8920 -1.5854 -4.4842 1.3486 1.3424 3.9096 5.5168" Properties=species:S:1:pos:R:3 comment="PBEsol ZrAs2Br, relaxed" raw_formation_energy_mev_per_atom=-417 pbc="T T T"
Zr -1.1470 -1.5302 2.6248
As -2.0926 1.4325 2.3033
As -0.1941 0.3900 1.0685
Br -1.0393 2.0882 5.7218

(2)
5
Lattice="-4.6380 -2.1776 0.8442 0.8809 -3.3695 -3.8518 2.1630 -3.2971 3.3789" Properties=species:S:1:pos:R:3 comment="PBEsol CsSc3Os, relaxed" e_form_ev_per_fu=1.2 pbc="T T T"
Sc 0.4404 -1.6847 -1.9259
Sc 1.0815 -1.6485 1.6894
Sc -2.3190 -1.0888 0.4221
Os 0.0000 0.0000 0.0000
Cs -0.7971 -4.4221 0.1856